This record from the Open Quantum Materials Database describes crystalline Dy3Er3SbTeOs at its relaxed geometry. The functional is GGA-PBE.

extended XYZ file:
```
9
Lattice="-5.078 -4.335 -4.774 -1.337 0.431 8.087 -2.336 3.359 -0.565" Properties=species:S:1:pos:R:3 pbc="T T T"
Dy -4.416 -2.204 5.153
Dy -0.839 0.246 4.926
Dy -2.497 -1.514 1.320
Te -4.999 -1.067 -0.770
Sb -3.752 0.522 3.517
Er -1.488 1.779 1.632
Er -6.062 -1.298 2.250
Er -3.705 1.085 6.669
Os 0.000 0.000 0.000
```

Output
SG: P-6
Uncorrected energy in eV per atom: -5.82


This record from the Open Quantum Materials Database describes crystalline Zr4U3 at its relaxed geometry. The functional is GGA-PBE.

extended XYZ file:
```
14
Lattice="-4.953 2.787 -6.016 -1.679 -4.801 -6.526 -4.226 -1.995 2.555" Properties=species:S:1:pos:R:3 pbc="T T T"
U -3.532 -2.789 -8.019
U -5.376 -1.498 -4.510
U -2.493 -1.899 -5.607
U -6.416 -2.390 -6.927
U -4.739 -4.041 -5.443
U -4.169 -0.246 -7.088
Zr -3.052 0.945 -4.311
Zr -3.421 -3.275 -2.665
Zr -7.721 -3.314 -9.808
Zr -7.255 0.579 -5.997
Zr -5.488 -1.012 -9.868
Zr -1.187 -0.973 -2.724
Zr -4.177 -0.430 -1.694
Zr -4.926 2.719 -6.025
```

Output
Energy of formation in eV per atom: 0.24
SG: P2_1/m
Energy relative to the lowest polymorph listed for this composition in eV/f.u.: 0.00


This record from the Open Quantum Materials Database describes crystalline Dy3Sb2P at its relaxed geometry. The functional is GGA-PBE.

extended XYZ file:
```
6
Lattice="4.226 0.000 0.000 -2.113 3.660 0.000 0.000 0.000 10.560" Properties=species:S:1:pos:R:3 pbc="T T T"
Dy 2.113 1.220 9.026
Dy 0.000 0.000 5.280
Dy 0.000 2.440 1.534
Sb 0.000 2.440 7.135
Sb 2.113 1.220 3.425
P 0.000 0.000 0.000
```

Output
SG: P-3m1
Uncorrected energy in eV per atom: -5.84


This record from the Open Quantum Materials Database describes crystalline Ba2As2PtAu at its relaxed geometry. The functional is GGA-PBE.

extended XYZ file:
```
6
Lattice="-2.129 3.718 1.260 -2.302 -3.761 -0.707 1.156 -2.414 9.079" Properties=species:S:1:pos:R:3 pbc="T T T"
As 0.578 -1.207 4.540
As -2.187 1.225 0.604
Au 0.000 0.000 0.000
Ba -1.944 -1.894 2.304
Ba -1.388 -3.056 6.672
Pt -1.609 0.018 5.144
```

Output
SG: P-6m2
Uncorrected energy in eV per atom: -4.70


This record from the Open Quantum Materials Database describes crystalline Tb2Ge2O7 at its relaxed geometry. The functional is GGA-PBE.

extended XYZ file:
```
44
Lattice="-11.242 -1.222 -4.745 3.101 0.099 -6.066 0.754 -6.740 0.577" Properties=species:S:1:pos:R:3 pbc="T T T"
O 0.464 -2.379 -3.335
O 0.270 -1.621 -0.530
O -2.163 -0.776 -3.819
O -3.975 -2.181 -8.407
O -9.256 -1.091 -6.409
O -8.204 -3.463 -4.931
O -1.818 -2.914 -1.629
O -7.657 -6.242 -9.704
O -3.584 -2.566 -5.540
O 0.504 -4.821 -1.653
O -4.266 -3.246 -2.869
O -5.224 -7.087 -6.415
O 0.817 -4.400 -5.303
O -1.667 -6.899 -6.175
O -7.851 -5.484 -6.899
O -5.890 -3.413 -6.471
O -7.890 -3.042 -8.581
O -3.803 -5.297 -4.695
O -5.354 -7.596 -9.233
O -2.033 -0.267 -1.002
O -3.120 -4.617 -7.365
O -3.412 -5.682 -1.827
O -0.851 -2.253 -6.077
O -5.569 -4.949 -8.605
O 1.869 -6.772 -3.825
O -5.720 -0.964 -4.059
O -6.535 -5.610 -4.158
O -1.497 -4.450 -3.763
Tb -8.881 -5.686 -4.824
Tb -6.099 -3.255 -4.163
Tb -3.721 -1.186 -2.150
Tb -0.231 -0.393 -2.519
Tb 1.494 -2.177 -5.410
Tb -1.288 -4.608 -6.071
Tb -3.666 -6.677 -8.084
Tb -7.156 -7.470 -7.715
Ge -4.216 -3.279 -7.092
Ge 1.985 -5.667 -5.237
Ge -5.122 -6.508 -4.776
Ge -3.170 -4.584 -3.142
Ge -2.265 -1.355 -5.458
Ge -9.372 -2.196 -4.997
Ge -6.958 -4.257 -7.751
Ge -0.428 -3.606 -2.484
```

Output
SG: P-1
Uncorrected energy in eV per atom: -7.42


This record from the Open Quantum Materials Database describes crystalline ZrSi2SnO7 at its relaxed geometry. The functional is GGA-PBE.

extended XYZ file:
```
11
Lattice="2.068 -0.039 -5.171 -5.158 -1.959 -0.763 -1.159 4.536 0.076" Properties=species:S:1:pos:R:3 pbc="T T T"
Si -1.102 1.541 -1.264
Si -3.037 1.026 -4.661
O -5.279 0.431 -1.005
O -0.118 0.817 -2.349
O -2.019 2.614 -2.079
O -2.006 2.285 -4.805
O -4.490 1.536 -4.107
O -2.307 -0.097 -3.732
O -1.944 0.421 -0.418
Sn -3.056 -1.401 -2.045
Zr -0.175 -0.635 -3.803
```

Output
SG: C2
Uncorrected energy in eV per atom: -7.89


This record from the Open Quantum Materials Database describes crystalline ReMoW at its relaxed geometry. The functional is GGA-PBE.

extended XYZ file:
```
6
Lattice="0.484 4.493 4.946 4.235 4.431 2.706 0.771 6.562 1.108" Properties=species:S:1:pos:R:3 pbc="T T T"
W 3.147 8.876 5.021
W 2.343 6.610 3.739
Mo 1.585 4.471 2.529
Mo 3.905 11.015 6.231
Re 4.697 13.249 7.495
Re 0.793 2.237 1.265
```

Output
Energy of formation in eV per atom: 0.49
SG: R-3m
Energy relative to the lowest polymorph listed for this composition in eV/f.u.: 0.00


This record from the Open Quantum Materials Database describes crystalline AcPIrO at its relaxed geometry. The functional is GGA-PBE.

extended XYZ file:
```
8
Lattice="-2.532 -0.275 2.456 -0.073 -7.695 -0.939 3.867 -0.516 3.928" Properties=species:S:1:pos:R:3 pbc="T T T"
P 1.899 -3.506 1.564
P 3.822 -4.962 3.382
O 1.635 -0.561 4.171
O -0.371 -7.926 1.277
Ir -1.313 -5.960 0.527
Ir 0.659 -2.271 2.973
Ac 1.883 -6.634 1.196
Ac -0.003 -1.321 -0.151
```

Output
SG: Pmc2_1
Energy relative to the lowest polymorph listed for this composition in eV/f.u.: 2.70


This record from the Open Quantum Materials Database describes crystalline Mo4PSN2 at its relaxed geometry. The functional is GGA-PBE.

extended XYZ file:
```
8
Lattice="3.021 0.000 0.000 -1.511 2.616 0.000 0.000 0.000 12.417" Properties=species:S:1:pos:R:3 pbc="T T T"
S 1.511 0.872 0.000
N 0.000 0.000 9.314
N 0.000 0.000 3.103
Mo 1.511 0.872 7.946
Mo 1.511 0.872 4.471
Mo 0.000 1.744 10.630
Mo 0.000 1.744 1.787
P 0.000 1.744 6.208
```

Output
SG: P-6m2
Uncorrected energy in eV per atom: -8.83


This record from the Open Quantum Materials Database describes crystalline HfBeNiGe at its relaxed geometry. The functional is GGA-PBE.

extended XYZ file:
```
4
Lattice="0.000 3.018 3.018 3.018 0.000 3.018 3.018 3.018 0.000" Properties=species:S:1:pos:R:3 pbc="T T T"
Ge 0.000 0.000 0.000
Hf 3.018 3.018 3.018
Ni 4.527 4.527 4.527
Be 1.509 1.509 1.509
```

Output
SG: F-43m
Energy relative to the lowest polymorph listed for this composition in eV/f.u.: 0.00